[1]
Crystalline Tb2Hg3Au at its relaxed geometry. Source: the Alexandria database, functional PBE.

Cell: 3.4259 4.9037 8.4927 Å, 90.00 90.00 90.00°
Fractional coordinates of all 6 atoms:
Hg1 0.5000 0.0000 0.8321
Tb1 0.0000 0.0000 0.4868
Hg2 0.5000 0.5000 0.6639
Hg3 0.5000 0.0000 0.1676
Tb2 0.0000 0.5000 0.0166
Au1 0.5000 0.5000 0.3330

## Properties
DFT formation energy (eV/atom): -0.50

[2]
Crystalline MoOsRh at its relaxed geometry. Source: the Alexandria database, functional PBE.

Cell: 4.7884 4.7884 4.7884 Å, 147.04 131.52 59.87°
Fractional coordinates of all 3 atoms:
Os1 0.3349 0.3349 0.0000
Rh1 0.6683 0.6683 0.0000
Mo1 0.9968 0.9968 0.0000

## Properties
DFT formation energy (eV/atom): 0.01
Energy above the most stable polymorph in this dataset (eV/atom): 0.138

[3]
Crystalline LaTbY3Ho at its relaxed geometry. Source: the Alexandria database, functional PBE.

Cell: 5.0753 8.0487 10.1708 Å, 90.00 90.00 108.38°
Fractional coordinates of all 12 atoms:
Y1 0.6673 0.3346 0.0004
Y2 0.8310 0.6621 0.2500
Ho1 0.8315 0.6631 0.7500
Y3 0.1690 0.3379 0.7500
Tb1 0.0000 0.0000 0.5000
La1 0.5010 0.0020 0.2500
Y4 0.6673 0.3346 0.4996
Ho2 0.1685 0.3369 0.2500
La2 0.4990 0.9980 0.7500
Y5 0.3327 0.6654 0.9996
Y6 0.3327 0.6654 0.5004
Tb2 0.0000 0.0000 0.0000

## Properties
DFT formation energy (eV/atom): 0.03

[4]
Crystalline NaBi4H2 at its relaxed geometry. Source: the Alexandria database, functional PBE.

Cell: 4.6737 4.6617 9.8729 Å, 117.79 90.00 90.00°
Fractional coordinates of all 7 atoms:
Bi1 0.5000 0.0903 0.2228
Bi2 0.5000 0.9097 0.7772
Bi3 0.0000 0.4139 0.6410
H1 0.5000 0.0286 0.3960
H2 0.5000 0.9714 0.6040
Na1 0.0000 0.5000 0.0000
Bi4 0.0000 0.5861 0.3590

## Properties
VASP energy (eV for the cell shown): -22.5

Number 1: V 142.7 Å³/cell. Number 2: V 44.3 Å³/cell. Number 3: V 394.3 Å³/cell. Number 4: V 190.3 Å³/cell.